Record 1
# Nd4DyHo6

A relaxed Nd4DyHo6 crystal (PBE-GGA, Alexandria via LeMat-Bulk).

Geometry as POSCAR:
```
Nd4DyHo6
1.0
11.027 0.000 0.000
-5.514 9.550 0.000
0.000 0.000 3.561
Nd Dy Ho
4 1 6
Cartesian
0.000 0.000 0.000 Nd
-2.756 4.775 1.780 Nd
0.000 9.549 1.780 Nd
2.756 4.775 1.780 Nd
5.514 3.183 0.000 Dy
0.000 3.345 0.000 Ho
-2.617 7.877 0.000 Ho
2.547 1.471 1.780 Ho
2.617 7.877 0.000 Ho
8.480 1.471 1.780 Ho
5.514 6.608 1.780 Ho
```

Calculated values
- relative energy among the computed polymorphs (eV/f.u.) = 0.00
- space group = P-6m2
- formation energy (eV/atom) = 0.168


Record 2
# Nd2DyHo

A relaxed Nd2DyHo crystal (PBE-GGA, Alexandria via LeMat-Bulk).

Geometry as POSCAR:
```
Nd2DyHo
1.0
7.351 0.000 0.000
0.000 12.616 0.000
0.000 0.000 5.792
Nd Dy Ho
8 4 4
Cartesian
1.837 2.092 1.448 Nd
1.839 4.216 4.344 Nd
1.839 8.400 1.448 Nd
1.837 10.524 4.344 Nd
5.514 2.092 1.448 Nd
5.512 4.216 4.344 Nd
5.512 8.400 1.448 Nd
5.514 10.524 4.344 Nd
0.000 1.043 4.344 Dy
0.000 11.573 1.448 Dy
3.675 5.265 1.448 Dy
3.675 7.351 4.344 Dy
0.000 5.264 1.448 Ho
0.000 7.352 4.344 Ho
3.675 1.044 4.344 Ho
3.675 11.572 1.448 Ho
```

Calculated values
- relative energy among the computed polymorphs (eV/f.u.) = 0.03
- space group = Cmcm
- formation energy (eV/atom) = 0.021


Record 3
# Nd3Dy2Ho4

A relaxed Nd3Dy2Ho4 crystal (PBE-GGA, Alexandria via LeMat-Bulk).

Geometry as POSCAR:
```
Nd3Dy2Ho4
1.0
8.310 -5.833 0.000
8.310 5.833 0.000
-0.787 0.000 6.019
Nd Dy Ho
6 4 8
Cartesian
7.720 4.605 4.514 Nd
4.825 1.226 5.508 Nd
5.219 -1.226 2.499 Nd
10.614 1.226 3.520 Nd
11.008 -1.226 0.511 Nd
8.113 -4.605 1.505 Nd
6.204 4.274 1.119 Dy
10.023 4.274 1.890 Dy
5.810 -4.274 4.129 Dy
9.629 -4.274 4.900 Dy
3.324 1.561 2.119 Ho
7.113 1.558 2.891 Ho
2.930 -1.561 5.129 Ho
9.114 1.558 0.118 Ho
6.720 -1.558 5.901 Ho
12.903 1.561 0.890 Ho
8.720 -1.558 3.128 Ho
12.509 -1.561 3.900 Ho
```

Calculated values
- relative energy among the computed polymorphs (eV/f.u.) = 0.74
- space group = C2/c
- formation energy (eV/atom) = 0.101


Record 4
# Nd5Dy2Ho3

A relaxed Nd5Dy2Ho3 crystal (PBE-GGA, Alexandria via LeMat-Bulk).

Geometry as POSCAR:
```
Nd5Dy2Ho3
1.0
5.363 -7.446 0.000
5.363 7.446 0.000
-5.359 0.000 8.489
Nd Dy Ho
10 4 6
Cartesian
1.344 7.166 6.367 Nd
-1.345 1.933 6.437 Nd
1.344 4.041 6.367 Nd
1.334 -1.933 2.193 Nd
4.023 0.320 2.122 Nd
1.344 -0.320 6.367 Nd
4.033 1.933 6.297 Nd
4.023 -4.041 2.122 Nd
6.712 -1.933 2.052 Nd
4.023 -7.166 2.122 Nd
1.325 1.913 0.487 Dy
-1.354 -1.913 4.732 Dy
6.721 1.913 3.757 Dy
4.042 -1.913 8.002 Dy
1.331 1.866 3.759 Ho
4.023 3.387 2.122 Ho
-1.348 -1.866 8.003 Ho
6.715 1.866 0.486 Ho
1.344 -3.387 6.367 Ho
4.036 -1.866 4.730 Ho
```

Calculated values
- relative energy among the computed polymorphs (eV/f.u.) = 0.00
- space group = C2/c
- formation energy (eV/atom) = 0.181


Record 5
# NdDy3Ho7

A relaxed NdDy3Ho7 crystal (PBE-GGA, Alexandria via LeMat-Bulk).

Geometry as POSCAR:
```
NdDy3Ho7
1.0
6.923 0.000 0.000
0.000 5.519 0.000
-3.307 0.000 9.298
Nd Dy Ho
1 3 7
Cartesian
0.000 0.000 0.000 Nd
0.280 2.759 4.613 Dy
3.461 0.000 0.000 Dy
3.335 2.759 4.685 Dy
-1.654 0.000 4.649 Ho
-1.584 2.759 7.343 Ho
1.770 2.759 1.323 Ho
1.846 0.000 3.082 Ho
1.770 0.000 6.216 Ho
1.846 2.759 7.976 Ho
5.199 2.759 1.955 Ho
```

Calculated values
- relative energy among the computed polymorphs (eV/f.u.) = 0.00
- space group = P2/m
- formation energy (eV/atom) = 0.148


Record 6
# NdDy2Ho12

A relaxed NdDy2Ho12 crystal (PBE-GGA, Alexandria via LeMat-Bulk).

Geometry as POSCAR:
```
NdDy2Ho12
1.0
3.543 -5.551 0.000
3.543 5.551 0.000
-1.763 0.000 24.192
Nd Dy Ho
2 4 24
Cartesian
1.772 0.000 0.005 Nd
3.551 0.000 24.187 Nd
-0.007 0.000 6.592 Dy
1.781 0.000 17.599 Dy
3.542 0.000 6.594 Dy
5.330 0.000 17.600 Dy
1.763 2.781 4.898 Ho
1.772 2.771 8.007 Ho
1.770 2.771 13.425 Ho
-0.003 0.000 13.891 Ho
0.014 0.000 20.847 Ho
1.786 2.776 22.367 Ho
3.538 2.776 1.826 Ho
1.766 0.000 3.358 Ho
1.778 0.000 10.316 Ho
3.553 2.771 10.768 Ho
3.551 2.771 16.185 Ho
3.560 2.781 19.294 Ho
1.763 -2.781 4.898 Ho
1.772 -2.771 8.007 Ho
1.770 -2.771 13.425 Ho
3.546 0.000 13.877 Ho
3.557 0.000 20.834 Ho
1.786 -2.776 22.367 Ho
3.538 -2.776 1.826 Ho
5.309 0.000 3.345 Ho
5.326 0.000 10.302 Ho
3.553 -2.771 10.768 Ho
3.551 -2.771 16.185 Ho
3.560 -2.781 19.294 Ho
```

Calculated values
- space group = C2/m
- formation energy (eV/atom) = 0.113


Record 7
# NdDy6Ho4

A relaxed NdDy6Ho4 crystal (PBE-GGA, Alexandria via LeMat-Bulk).

Geometry as POSCAR:
```
NdDy6Ho4
1.0
2.854 -4.800 0.000
2.854 4.800 0.000
0.000 0.000 25.620
Nd Dy Ho
2 12 8
Cartesian
2.854 2.964 19.215 Nd
2.854 -2.964 6.405 Nd
2.854 3.472 4.626 Dy
2.854 3.472 8.184 Dy
2.854 2.941 15.417 Dy
2.854 2.941 23.013 Dy
2.854 0.248 6.405 Dy
2.854 0.000 0.000 Dy
2.854 0.000 12.810 Dy
2.854 -0.248 19.215 Dy
2.854 -2.941 2.607 Dy
2.854 -2.941 10.203 Dy
2.854 -3.472 17.436 Dy
2.854 -3.472 20.994 Dy
2.854 3.308 1.081 Ho
2.854 3.308 11.729 Ho
2.854 0.321 3.107 Ho
2.854 0.321 9.703 Ho
2.854 -0.321 15.917 Ho
2.854 -0.321 22.513 Ho
2.854 -3.308 13.891 Ho
2.854 -3.308 24.539 Ho
```

Calculated values
- relative energy among the computed polymorphs (eV/f.u.) = 0.00
- space group = Cmcm
- formation energy (eV/atom) = 0.125


Record 8
# Nd7Dy16Ho6

A relaxed Nd7Dy16Ho6 crystal (PBE-GGA, Alexandria via LeMat-Bulk).

Geometry as POSCAR:
```
Nd7Dy16Ho6
1.0
0.000 7.926 7.926
7.926 0.000 7.926
7.926 7.926 0.000
Nd Dy Ho
7 16 6
Cartesian
0.000 0.000 0.000 Nd
3.963 3.963 0.000 Nd
3.963 0.000 3.963 Nd
7.926 3.963 3.963 Nd
0.000 3.963 3.963 Nd
3.963 7.926 3.963 Nd
3.963 3.963 7.926 Nd
10.302 5.550 5.550 Dy
2.031 2.031 2.031 Dy
5.896 5.896 2.031 Dy
5.896 2.031 5.896 Dy
5.550 5.550 5.550 Dy
10.302 10.302 5.550 Dy
10.302 5.550 10.302 Dy
13.822 9.957 9.957 Dy
2.031 5.896 5.896 Dy
5.550 10.302 5.550 Dy
5.550 5.550 10.302 Dy
10.302 10.302 10.302 Dy
9.957 13.822 9.957 Dy
9.957 9.957 13.822 Dy
13.822 13.822 13.822 Dy
5.550 10.302 10.302 Dy
7.926 7.926 4.120 Ho
7.926 4.120 7.926 Ho
11.732 7.926 7.926 Ho
4.120 7.926 7.926 Ho
7.926 11.732 7.926 Ho
7.926 7.926 11.732 Ho
```

Calculated values
- space group = Fm-3m
- formation energy (eV/atom) = 0.260


no.,total magnetization (μB/cell),E (eV/atom)
1,0.00,-4.482
2,0.00,-4.658
3,0.00,-4.546
4,0.00,-4.497
5,0.00,-4.453
6,0.00,-4.481
7,0.00,-4.483
8,0.00,-4.377